No. 1
Entry from Alexandria: a geometry-optimized ZrScPS structure (PBE).

- Raw formation energy: -147.9 kJ per mole of atoms
- Calculated density: 4.44 Mg/m³

a b c (Å): 6.8103 6.8103 6.8103
angles (deg): 31.06 31.06 31.06
Element x y z (fractional)
Zr1 0.0000 0.0000 0.0000
Sc1 0.1815 0.1815 0.1815
P1 0.5903 0.5903 0.5903
S1 0.4223 0.4223 0.4223



No. 2
Entry from Alexandria: a geometry-optimized Zr2TiIn2 structure (PBE).

- Calculated density: 7.11 Mg/m³
- DFT formation energy: -0.164 eV/atom
- Excess energy over the best structure of this formula in the dataset: 0 meV/atom

a b c (Å): 5.4274 5.4274 7.3499
angles (deg): 128.03 128.03 41.22
Element x y z (fractional)
Zr1 0.0915 0.0915 0.3875
Zr2 0.9085 0.9085 0.6125
Ti1 0.5000 0.5000 0.0000
In1 0.2850 0.2850 0.1884
In2 0.7150 0.7150 0.8116



Total moment list, top to bottom, in μB per cell: 0.00, 0.82